Below is an optimized crystal structure of AlSiS2N, with properties calculated at the PBEsol level.

CIF file:
```
data_AlSiS2N
_cell_length_a 4.691
_cell_length_b 4.691
_cell_length_c 3.604
_cell_angle_alpha 90.00
_cell_angle_beta 90.00
_cell_angle_gamma 90.00
_space_group_name_H-M_alt 'P 4/m m m'
_space_group_IT_number 123
_space_group_name_Hall '-P 4 2'
loop_
_atom_site_label
_atom_site_type_symbol
_atom_site_fract_x
_atom_site_fract_y
_atom_site_fract_z
Al1 Al 0.000 0.000 0.000
Si1 Si 0.500 0.500 0.500
S1 S 0.000 0.500 0.000
N1 N 0.000 0.000 0.500
```

Formation energy without anion corrections ... 308 meV per atom


Below is an optimized crystal structure of BaBe2F, with properties calculated at the PBEsol level.

CIF file:
```
data_BaBe2F
_cell_length_a 6.990
_cell_length_b 6.990
_cell_length_c 6.990
_cell_angle_alpha 90.00
_cell_angle_beta 90.00
_cell_angle_gamma 90.00
_space_group_name_H-M_alt 'F m -3 m'
_space_group_IT_number 225
_space_group_name_Hall '-F 4 2 3'
loop_
_atom_site_label
_atom_site_type_symbol
_atom_site_fract_x
_atom_site_fract_y
_atom_site_fract_z
Ba1 Ba 0.000 0.000 0.000
Be1 Be 0.250 0.250 0.250
F1 F 0.000 0.000 0.500
```

Formation energy without anion corrections ... 455 meV per atom


Below is an optimized crystal structure of TaZnW, with properties calculated at the PBEsol level.

CIF file:
```
data_TaZnW
_cell_length_a 2.8029
_cell_length_b 2.8029
_cell_length_c 7.0641
_cell_angle_alpha 90.00
_cell_angle_beta 90.00
_cell_angle_gamma 120.00
_space_group_name_H-M_alt 'P 3 m 1'
_space_group_IT_number 156
loop_
_space_group_symop_operation_xyz
'x,y,z'
'-y,x-y,z'
'-x+y,-x,z'
'-y,-x,z'
'-x+y,y,z'
'x,x-y,z'
loop_
_atom_site_label
_atom_site_type_symbol
_atom_site_fract_x
_atom_site_fract_y
_atom_site_fract_z
Ta1 Ta 0.0000 0.0000 0.0000
Zn1 Zn 0.6667 0.3333 0.3313
W1 W 0.3333 0.6667 0.6496
```

Energy above the lowest structure with this stoichiometry ... 0 meV per atom


Below is an optimized crystal structure of SrSc2Mn, with properties calculated at the PBEsol level.

CIF file:
```
data_SrSc2Mn
_cell_length_a 3.4048
_cell_length_b 3.4048
_cell_length_c 28.7989
_cell_angle_alpha 90.00
_cell_angle_beta 90.00
_cell_angle_gamma 120.00
_space_group_name_H-M_alt 'R -3 m'
_space_group_IT_number 166
_space_group_name_Hall '-R 3 2"'
loop_
_atom_site_label
_atom_site_type_symbol
_atom_site_fract_x
_atom_site_fract_y
_atom_site_fract_z
Sr1 Sr 0.0000 0.0000 0.0000
Sc1 Sc 0.0000 0.0000 0.2235
Mn1 Mn 0.0000 0.0000 0.5000
```

Energy above the lowest structure with this stoichiometry ... 43 meV per atom


Below is an optimized crystal structure of TlCd4In, with properties calculated at the PBEsol level.

CIF file:
```
data_TlCd4In
_cell_length_a 8.281
_cell_length_b 8.281
_cell_length_c 8.281
_cell_angle_alpha 90.00
_cell_angle_beta 90.00
_cell_angle_gamma 90.00
_space_group_name_H-M_alt 'F -4 3 m'
_space_group_IT_number 216
_space_group_name_Hall 'F -4 2 3'
loop_
_atom_site_label
_atom_site_type_symbol
_atom_site_fract_x
_atom_site_fract_y
_atom_site_fract_z
Tl1 Tl 0.000 0.000 0.000
Cd1 Cd 0.125 0.125 0.625
In1 In 0.250 0.250 0.250
```

Final energy ... -1.680 eV per atom


Below is an optimized crystal structure of YIn3, with properties calculated at the PBEsol level.

CIF file:
```
data_YIn3
_cell_length_a 3.835
_cell_length_b 3.835
_cell_length_c 6.767
_cell_angle_alpha 90.00
_cell_angle_beta 90.00
_cell_angle_gamma 90.00
_space_group_name_H-M_alt 'P 4/m m m'
_space_group_IT_number 123
_space_group_name_Hall '-P 4 2'
loop_
_atom_site_label
_atom_site_type_symbol
_atom_site_fract_x
_atom_site_fract_y
_atom_site_fract_z
Y1 Y 0.000 0.000 0.000
In1 In 0.000 0.000 0.500
In2 In 0.500 0.500 0.266
```

Final energy ... -4.233 eV per atom


Below is an optimized crystal structure of Re2PCl13, with properties calculated at the PBEsol level.

CIF file:
```
data_Re2PCl13
_cell_length_a 8.876
_cell_length_b 10.724
_cell_length_c 9.134
_cell_angle_alpha 90.00
_cell_angle_beta 98.88
_cell_angle_gamma 90.00
_space_group_name_H-M_alt 'P 1 21/m 1'
_space_group_IT_number 11
loop_
_space_group_symop_operation_xyz
'x,y,z'
'-x,-y,-z'
'-x,y+1/2,-z'
'x,-y+1/2,z'
loop_
_atom_site_label
_atom_site_type_symbol
_atom_site_fract_x
_atom_site_fract_y
_atom_site_fract_z
Re1 Re 0.179 0.250 0.081
Re2 Re 0.309 0.250 0.864
P1 P 0.269 0.750 0.487
Cl1 Cl 0.081 0.750 0.932
Cl2 Cl 0.135 0.081 0.901
Cl3 Cl 0.186 0.250 0.621
Cl4 Cl 0.191 0.750 0.276
Cl5 Cl 0.199 0.602 0.581
Cl6 Cl 0.209 0.096 0.257
Cl7 Cl 0.457 0.250 0.110
Cl8 Cl 0.471 0.095 0.817
Cl9 Cl 0.491 0.750 0.518
```

Formation energy without anion corrections ... -625 meV per atom


Below is an optimized crystal structure of Be2RePb, with properties calculated at the PBEsol level.

CIF file:
```
data_Be2RePb
_cell_length_a 8.358
_cell_length_b 3.288
_cell_length_c 4.509
_cell_angle_alpha 90.00
_cell_angle_beta 104.04
_cell_angle_gamma 90.00
_space_group_name_H-M_alt 'C 1 2/m 1'
_space_group_IT_number 12
loop_
_space_group_symop_operation_xyz
'x,y,z'
'-x,-y,-z'
'-x,y,-z'
'x,-y,z'
'x+1/2,y+1/2,z'
'-x+1/2,-y+1/2,-z'
'-x+1/2,y+1/2,-z'
'x+1/2,-y+1/2,z'
loop_
_atom_site_label
_atom_site_type_symbol
_atom_site_fract_x
_atom_site_fract_y
_atom_site_fract_z
Be1 Be 0.217 0.000 0.102
Re1 Re 0.000 0.500 0.000
Pb1 Pb 0.000 0.000 0.500
```

Final energy ... -5.797 eV per atom